First-principles (GGA-PBE) data for crystalline SrAcLaPm at its relaxed geometry, as listed in Alexandria.

Summary:
Volume   41.80 Å³ per atom
E   -0.1349 Ha/atom
Symmetry   No. 216
DFT formation energy   0.196 eV/atom

Cell lengths 6.184, 6.184, 6.184 Å; angles 60.00, 60.00, 60.00 degrees
Fractional coordinates of all 4 atoms:
Sr (0.000, 0.000, 0.000)
Ac (0.250, 0.250, 0.250)
La (0.500, 0.500, 0.500)
Pm (0.750, 0.750, 0.750)

---

First-principles (GGA-PBE) data for crystalline AcLaTbPm2 at its relaxed geometry, as listed in Alexandria.

Summary:
Volume   38.22 Å³ per atom
E   -0.1580 Ha/atom
Symmetry   No. 63
DFT formation energy   0.333 eV/atom

Cell lengths 7.427, 7.427, 7.359 Å; angles 90.00, 90.00, 109.66 degrees
Fractional coordinates of all 10 atoms:
Ac (0.243, 0.757, 0.750)
Ac (0.757, 0.243, 0.250)
La (0.484, 0.516, 0.250)
La (0.516, 0.484, 0.750)
Tb (0.212, 0.788, 0.250)
Tb (0.788, 0.212, 0.750)
Pm (0.187, 0.187, 0.000)
Pm (0.187, 0.187, 0.500)
Pm (0.813, 0.813, 0.000)
Pm (0.813, 0.813, 0.500)

---

First-principles (GGA-PBE) data for crystalline AcLa6Tb2Pm at its relaxed geometry, as listed in Alexandria.

Summary:
Volume   36.83 Å³ per atom
E   -0.1714 Ha/atom
Symmetry   No. 15
DFT formation energy   0.103 eV/atom

Cell lengths 9.115, 9.115, 10.083 Å; angles 94.09, 94.09, 117.41 degrees
Fractional coordinates of all 20 atoms:
Ac (0.025, 0.975, 0.750)
Ac (0.975, 0.025, 0.250)
La (0.010, 0.554, 0.685)
La (0.110, 0.749, 0.051)
La (0.251, 0.890, 0.449)
La (0.298, 0.507, 0.878)
La (0.446, 0.990, 0.815)
La (0.493, 0.702, 0.622)
La (0.507, 0.298, 0.378)
La (0.554, 0.010, 0.185)
La (0.702, 0.493, 0.122)
La (0.749, 0.110, 0.551)
La (0.890, 0.251, 0.949)
La (0.990, 0.446, 0.315)
Tb (0.199, 0.300, 0.546)
Tb (0.300, 0.199, 0.046)
Tb (0.700, 0.801, 0.954)
Tb (0.801, 0.700, 0.454)
Pm (0.408, 0.592, 0.250)
Pm (0.592, 0.408, 0.750)

---

First-principles (GGA-PBE) data for crystalline Ac2LaTbPm at its relaxed geometry, as listed in Alexandria.

Summary:
Volume   39.94 Å³ per atom
E   -0.1567 Ha/atom
Symmetry   No. 51
DFT formation energy   0.242 eV/atom

Cell lengths 6.531, 8.908, 6.866 Å; angles 90.00, 90.00, 90.00 degrees
Fractional coordinates of all 10 atoms:
Ac (0.250, 0.205, 0.212)
Ac (0.250, 0.795, 0.212)
Ac (0.750, 0.205, 0.788)
Ac (0.750, 0.795, 0.788)
La (0.250, 0.500, 0.919)
La (0.750, 0.500, 0.081)
Tb (0.000, 0.500, 0.500)
Tb (0.500, 0.500, 0.500)
Pm (0.250, 0.000, 0.683)
Pm (0.750, 0.000, 0.317)